VASP calculation (GGA-PBE) on crystalline Fe8Co3Pt3 at its relaxed geometry. Values from VASP.

Quantum ESPRESSO input file:
```
&SYSTEM
  ibrav = 0, nat = 14, ntyp = 3
/
ATOMIC_SPECIES
Pt 195.08 Pt.upf
Fe 55.84 Fe.upf
Co 58.93 Co.upf
ATOMIC_POSITIONS crystal
Pt 0.224 0.776 0.776
Pt 0.500 0.500 0.500
Fe 0.876 0.757 0.492
Fe 0.124 0.243 0.508
Co 0.500 0.000 0.000
Fe 0.352 0.931 0.364
Fe 0.876 0.492 0.757
Fe 0.648 0.636 0.069
Fe 0.352 0.364 0.931
Fe 0.648 0.069 0.636
Co 0.000 0.853 0.147
Pt 0.776 0.224 0.224
Co 0.000 0.147 0.853
Fe 0.124 0.508 0.243
CELL_PARAMETERS angstrom
3.917 0.000 0.787
1.665 6.565 1.853
0.647 -1.008 6.919
```

Properties
- theoretical density (g/cm³) = 11.12
- total magnetization (μB/cell) = 27.5
- formation enthalpy at 0 K (meV/atom) = 92


VASP calculation (GGA-PBE) on crystalline NaPmCdSb at its relaxed geometry. Values from VASP.

Quantum ESPRESSO input file:
```
&SYSTEM
  ibrav = 0, nat = 4, ntyp = 4
/
ATOMIC_SPECIES
Pm 145.00 Pm.upf
Sb 121.76 Sb.upf
Na 22.99 Na.upf
Cd 112.41 Cd.upf
ATOMIC_POSITIONS crystal
Pm 0.000 0.000 0.000
Sb 0.250 0.250 0.250
Na 0.500 0.500 0.500
Cd 0.750 0.750 0.750
CELL_PARAMETERS angstrom
-3.652 -1.227 -3.728
0.761 -4.226 -3.209
-3.042 -4.377 0.566
```

Properties
- theoretical density (g/cm³) = 6.13
- total magnetization (μB/cell) = 0.0
- energy relative to the elements, uncorrected (eV/atom) = -0.41


VASP calculation (GGA-PBE) on crystalline V2TeAsP at its relaxed geometry. Values from VASP.

Quantum ESPRESSO input file:
```
&SYSTEM
  ibrav = 0, nat = 5, ntyp = 4
/
ATOMIC_SPECIES
V 50.94 V.upf
P 30.97 P.upf
As 74.92 As.upf
Te 127.60 Te.upf
ATOMIC_POSITIONS crystal
V 0.500 0.000 0.000
P 0.000 0.000 0.000
As 0.000 0.500 0.000
Te 0.500 0.500 0.500
V 0.000 0.000 0.500
CELL_PARAMETERS angstrom
4.670 0.000 0.000
0.000 4.770 0.000
0.000 0.000 4.670
```

Properties
- theoretical density (g/cm³) = 5.35
- total magnetization (μB/cell) = 5.1
- energy relative to the elements, uncorrected (eV/atom) = 0.44


VASP calculation (GGA-PBE) on crystalline KZnNiPd2 at its relaxed geometry. Values from VASP.

Quantum ESPRESSO input file:
```
&SYSTEM
  ibrav = 0, nat = 5, ntyp = 4
/
ATOMIC_SPECIES
K 39.10 K.upf
Pd 106.42 Pd.upf
Zn 65.41 Zn.upf
Ni 58.69 Ni.upf
ATOMIC_POSITIONS crystal
K 0.000 0.500 0.000
Pd 0.000 0.000 0.500
Zn 0.000 0.000 0.000
Ni 0.500 0.500 0.500
Pd 0.500 0.000 0.000
CELL_PARAMETERS angstrom
-0.842 1.023 4.544
-5.307 0.210 -1.031
-0.371 -4.618 0.970
```

Properties
- theoretical density (g/cm³) = 5.15
- total magnetization (μB/cell) = 0.8
- formation enthalpy at 0 K (meV/atom) = 823


VASP calculation (GGA-PBE) on crystalline SrPm3Os at its relaxed geometry. Values from VASP.

Quantum ESPRESSO input file:
```
&SYSTEM
  ibrav = 0, nat = 5, ntyp = 3
/
ATOMIC_SPECIES
Pm 145.00 Pm.upf
Os 190.23 Os.upf
Sr 87.62 Sr.upf
ATOMIC_POSITIONS crystal
Pm 0.500 0.000 0.000
Pm 0.000 0.500 0.000
Os 0.000 0.000 0.000
Pm 0.000 0.000 0.500
Sr 0.500 0.500 0.500
CELL_PARAMETERS angstrom
-2.492 -3.315 3.843
-1.535 -3.589 -4.090
4.837 -2.846 0.682
```

Properties
- theoretical density (g/cm³) = 6.55
- total magnetization (μB/cell) = 0.0
- formation enthalpy at 0 K (meV/atom) = -4


VASP calculation (GGA-PBE) on crystalline Zn3AuI at its relaxed geometry. Values from VASP.

Quantum ESPRESSO input file:
```
&SYSTEM
  ibrav = 0, nat = 5, ntyp = 3
/
ATOMIC_SPECIES
Zn 65.41 Zn.upf
I 126.90 I.upf
Au 196.97 Au.upf
ATOMIC_POSITIONS crystal
Zn 0.000 0.500 0.000
Zn 0.000 0.000 0.500
I 0.500 0.500 0.500
Au 0.000 0.000 0.000
Zn 0.500 0.000 0.000
CELL_PARAMETERS angstrom
-0.497 -3.360 3.752
-1.641 -3.457 -3.312
4.762 -1.542 -0.750
```

Properties
- theoretical density (g/cm³) = 6.66
- total magnetization (μB/cell) = 0.0
- energy relative to the lowest polymorph listed for this composition (eV/atom) = 0.0000
- energy relative to the elements, uncorrected (eV/atom) = 0.00


VASP calculation (GGA-PBE) on crystalline TbPrLuPb at its relaxed geometry. Values from VASP.

Quantum ESPRESSO input file:
```
&SYSTEM
  ibrav = 0, nat = 4, ntyp = 4
/
ATOMIC_SPECIES
Pb 207.20 Pb.upf
Tb 158.93 Tb.upf
Lu 174.97 Lu.upf
Pr 140.91 Pr.upf
ATOMIC_POSITIONS crystal
Pb 0.250 0.250 0.250
Tb 0.000 0.000 0.000
Lu 0.750 0.750 0.750
Pr 0.500 0.500 0.500
CELL_PARAMETERS angstrom
-5.053 1.144 -1.960
-4.341 0.127 3.438
-2.419 4.829 1.229
```

Properties
- theoretical density (g/cm³) = 9.42
- total magnetization (μB/cell) = 0.0
- formation enthalpy at 0 K (meV/atom) = -132


VASP calculation (GGA-PBE) on crystalline TlGaH2Au at its relaxed geometry. Values from VASP.

Quantum ESPRESSO input file:
```
&SYSTEM
  ibrav = 0, nat = 5, ntyp = 4
/
ATOMIC_SPECIES
H 1.01 H.upf
Ga 69.72 Ga.upf
Tl 204.38 Tl.upf
Au 196.97 Au.upf
ATOMIC_POSITIONS crystal
H 0.500 0.000 0.000
Ga 0.000 0.000 0.000
H 0.000 0.000 0.500
Tl 0.000 0.500 0.000
Au 0.500 0.500 0.500
CELL_PARAMETERS angstrom
-3.343 -1.490 -1.230
0.522 -4.530 4.068
-1.904 2.120 2.606
```

Properties
- theoretical density (g/cm³) = 8.62
- total magnetization (μB/cell) = 0.0
- E_tot (eV/f.u.) = -13.490


VASP calculation (GGA-PBE) on crystalline NdSm2Bi3 at its relaxed geometry. Values from VASP.

Quantum ESPRESSO input file:
```
&SYSTEM
  ibrav = 0, nat = 6, ntyp = 3
/
ATOMIC_SPECIES
Sm 150.36 Sm.upf
Bi 208.98 Bi.upf
Nd 144.24 Nd.upf
ATOMIC_POSITIONS crystal
Sm 0.834 0.834 0.168
Bi 0.832 0.332 0.163
Bi 0.168 0.668 0.837
Sm 0.166 0.166 0.832
Bi 0.500 0.000 0.500
Nd 0.500 0.500 0.500
CELL_PARAMETERS angstrom
-3.340 0.445 -3.097
-2.864 -5.310 2.326
-0.473 6.293 4.795
```

Properties
- theoretical density (g/cm³) = 8.76
- total magnetization (μB/cell) = 0.0
- formation enthalpy at 0 K (meV/atom) = -934


VASP calculation (GGA-PBE) on crystalline Hf2ZnH at its relaxed geometry. Values from VASP.

Quantum ESPRESSO input file:
```
&SYSTEM
  ibrav = 0, nat = 8, ntyp = 3
/
ATOMIC_SPECIES
H 1.01 H.upf
Zn 65.41 Zn.upf
Hf 178.49 Hf.upf
ATOMIC_POSITIONS crystal
H 0.250 0.750 0.500
Zn 0.750 0.250 0.500
H 0.500 0.500 0.000
Hf 0.202 0.625 0.250
Hf 0.375 0.452 0.750
Hf 0.875 0.798 0.750
Hf 0.548 0.125 0.250
Zn 0.000 0.000 0.000
CELL_PARAMETERS angstrom
6.328 0.000 0.000
0.000 6.328 0.000
3.164 3.164 3.135
```

Properties
- theoretical density (g/cm³) = 11.20
- total magnetization (μB/cell) = 0.0
- energy relative to the lowest polymorph listed for this composition (eV/atom) = 0.1055


VASP calculation (GGA-PBE) on crystalline V4CrFe3 at its relaxed geometry. Values from VASP.

Quantum ESPRESSO input file:
```
&SYSTEM
  ibrav = 0, nat = 8, ntyp = 3
/
ATOMIC_SPECIES
V 50.94 V.upf
Fe 55.84 Fe.upf
Cr 52.00 Cr.upf
ATOMIC_POSITIONS crystal
V 0.000 0.000 0.375
V 0.000 0.000 0.876
Fe 0.500 0.500 0.747
V 0.000 0.000 0.625
Cr 0.500 0.500 0.000
Fe 0.500 0.500 0.500
Fe 0.500 0.500 0.253
V 0.000 0.000 0.124
CELL_PARAMETERS angstrom
2.888 0.000 0.000
0.000 2.888 0.000
0.000 0.000 11.465
```

Properties
- theoretical density (g/cm³) = 7.35
- total magnetization (μB/cell) = 1.5
- formation enthalpy at 0 K (meV/atom) = -136


VASP calculation (GGA-PBE) on crystalline Tb3Y2ErAs6 at its relaxed geometry. Values from VASP.

Quantum ESPRESSO input file:
```
&SYSTEM
  ibrav = 0, nat = 12, ntyp = 4
/
ATOMIC_SPECIES
Y 88.91 Y.upf
As 74.92 As.upf
Tb 158.93 Tb.upf
Er 167.26 Er.upf
ATOMIC_POSITIONS crystal
Y 0.167 0.333 0.333
As 0.000 0.248 0.000
As 0.334 0.917 0.668
Tb 0.833 0.167 0.666
As 0.000 0.752 0.000
As 0.666 0.083 0.332
As 0.333 0.417 0.666
As 0.667 0.583 0.334
Er 0.500 0.000 0.000
Tb 0.500 0.500 0.000
Y 0.833 0.667 0.667
Tb 0.167 0.833 0.334
CELL_PARAMETERS angstrom
-1.580 -3.811 0.068
5.086 -1.999 6.176
-6.495 5.002 4.222
```

Properties
- theoretical density (g/cm³) = 7.09
- total magnetization (μB/cell) = 0.0
- formation enthalpy at 0 K (meV/atom) = -1543


Copy entry 8 word for word.
VASP calculation (GGA-PBE) on crystalline TlGaH2Au at its relaxed geometry. Values from VASP.

Quantum ESPRESSO input file:
```
&SYSTEM
  ibrav = 0, nat = 5, ntyp = 4
/
ATOMIC_SPECIES
H 1.01 H.upf
Ga 69.72 Ga.upf
Tl 204.38 Tl.upf
Au 196.97 Au.upf
ATOMIC_POSITIONS crystal
H 0.500 0.000 0.000
Ga 0.000 0.000 0.000
H 0.000 0.000 0.500
Tl 0.000 0.500 0.000
Au 0.500 0.500 0.500
CELL_PARAMETERS angstrom
-3.343 -1.490 -1.230
0.522 -4.530 4.068
-1.904 2.120 2.606
```

Properties
- theoretical density (g/cm³) = 8.62
- total magnetization (μB/cell) = 0.0
- E_tot (eV/f.u.) = -13.490